# 1
# Al2TlP

Crystalline Al2TlP at its relaxed geometry (PBE, Alexandria).

abc: 4.7143 4.7143 4.7143
angles: 114.49 114.49 99.84
Fractional positions:
P 0.2500 0.7500 0.5000
Tl 0.7500 0.2500 0.5000
Al 0.0000 0.0000 0.0000
Al 0.5000 0.5000 0.0000

Properties
* uncorrected energy: -3.429 eV/atom
* energy of formation: 386.7 meV/atom
* polymorph energy (0 for the lowest one): 0.441 eV/atom
* D(E_F): 0.44 states/eV per atom


# 2
# AlTl2P

Crystalline AlTl2P at its relaxed geometry (PBE, Alexandria).

abc: 3.8019 3.8019 8.5236
angles: 76.08 76.08 60.21
Fractional positions:
P 0.2287 0.2287 0.3193
Tl 0.9864 0.9864 0.0419
Tl 0.7617 0.7617 0.7098
Al 0.5232 0.5232 0.4290

Properties
* uncorrected energy: -3.553 eV/atom
* energy of formation: -81.3 meV/atom
* polymorph energy (0 for the lowest one): 0.000 eV/atom
* D(E_F): 0.40 states/eV per atom


# 3
# AlTlP2

Crystalline AlTlP2 at its relaxed geometry (PBE, Alexandria).

abc: 5.2805 5.2805 5.2805
angles: 137.83 107.75 87.36
Fractional positions:
P 0.0618 0.0618 0.0000
P 0.4382 0.4382 0.0000
Tl 0.7500 0.2500 0.5000
Al 0.2500 0.7500 0.5000

Properties
* uncorrected energy: -3.940 eV/atom
* energy of formation: 292.6 meV/atom
* polymorph energy (0 for the lowest one): 0.480 eV/atom
* D(E_F): 0.53 states/eV per atom


# 4
# AlTl2P

Crystalline AlTl2P at its relaxed geometry (PBE, Alexandria).

abc: 6.5700 6.5700 7.3466
angles: 63.44 63.44 90.00
Fractional positions:
P 0.0000 0.0000 0.0000
P 0.7500 0.2500 0.5000
Tl 0.6405 0.1250 0.2500
Tl 0.1095 0.6250 0.2500
Tl 0.3750 0.3595 0.7500
Tl 0.8750 0.8905 0.7500
Al 0.5000 0.5000 0.0000
Al 0.2500 0.7500 0.5000

Properties
* uncorrected energy: -3.043 eV/atom
* energy of formation: 428.1 meV/atom
* polymorph energy (0 for the lowest one): 0.509 eV/atom
* D(E_F): 0.21 states/eV per atom


# 5
# AlTlP2

Crystalline AlTlP2 at its relaxed geometry (PBE, Alexandria).

abc: 3.5480 4.6456 4.6456
angles: 90.00 90.00 90.00
Fractional positions:
P 0.0000 0.0000 0.0000
P 0.0000 0.5000 0.5000
Tl 0.5000 0.5000 0.0000
Al 0.5000 0.0000 0.5000

Properties
* uncorrected energy: -3.698 eV/atom
* energy of formation: 534.4 meV/atom
* polymorph energy (0 for the lowest one): 0.722 eV/atom
* D(E_F): 0.58 states/eV per atom


# 6
# AlTl2P

Crystalline AlTl2P at its relaxed geometry (PBE, Alexandria).

abc: 3.2116 3.2116 9.6583
angles: 90.00 90.00 102.10
Fractional positions:
P 0.5000 0.5000 0.7500
Tl 0.0000 0.0000 0.9816
Tl 0.0000 0.0000 0.5184
Al 0.5000 0.5000 0.2500

Properties
* uncorrected energy: -3.019 eV/atom
* energy of formation: 452.7 meV/atom
* polymorph energy (0 for the lowest one): 0.534 eV/atom
* D(E_F): 0.49 states/eV per atom


# 7
# AlTlP2

Crystalline AlTlP2 at its relaxed geometry (PBE, Alexandria).

abc: 5.6671 5.6671 5.6671
angles: 146.86 120.87 69.49
Fractional positions:
P 0.9726 0.9726 0.0000
P 0.8081 0.3081 0.5000
Tl 0.5077 0.5077 0.0000
Al 0.2116 0.7116 0.5000

Properties
* uncorrected energy: -3.971 eV/atom
* energy of formation: 261.1 meV/atom
* polymorph energy (0 for the lowest one): 0.448 eV/atom
* D(E_F): 0.38 states/eV per atom


# 8
# Al3TlP

Crystalline Al3TlP at its relaxed geometry (PBE, Alexandria).

abc: 5.1205 5.1205 5.1205
angles: 90.00 90.00 90.00
Fractional positions:
P 0.5000 0.5000 0.5000
Tl 0.0000 0.0000 0.0000
Al 0.0000 0.5000 0.0000
Al 0.0000 0.0000 0.5000
Al 0.5000 0.0000 0.0000

Properties
* uncorrected energy: -2.681 eV/atom
* energy of formation: 1119.5 meV/atom
* polymorph energy (0 for the lowest one): 0.767 eV/atom
* D(E_F): 0.54 states/eV per atom


# 9
# Al2TlP

Crystalline Al2TlP at its relaxed geometry (PBE, Alexandria).

abc: 6.2499 6.2499 6.8341
angles: 62.79 62.79 90.00
Fractional positions:
P 0.5000 0.5000 0.0000
P 0.2500 0.7500 0.5000
Tl 0.0000 0.0000 0.0000
Tl 0.7500 0.2500 0.5000
Al 0.5746 0.1250 0.2500
Al 0.1754 0.6250 0.2500
Al 0.3750 0.4254 0.7500
Al 0.8750 0.8246 0.7500

Properties
* uncorrected energy: -3.729 eV/atom
* energy of formation: 86.5 meV/atom
* polymorph energy (0 for the lowest one): 0.141 eV/atom
* D(E_F): 0.05 states/eV per atom


# 10
# U2AlP

Crystalline U2AlP at its relaxed geometry (PBE, Alexandria).

abc: 3.2001 3.2001 10.1809
angles: 80.96 80.96 60.00
Last column: magnetic moment on the atom in μB.
Fractional positions:
P 0.5000 0.5000 0.5000  -0.05
U 0.1023 0.1023 0.6932  1.57
U 0.8977 0.8977 0.3068  1.57
Al 0.0000 0.0000 0.0000  -0.01

Properties
* uncorrected energy: -7.759 eV/atom
* energy of formation: 173.5 meV/atom
* D(E_F): 2.35 states/eV per atom


# 11
# AlVP

Crystalline AlVP at its relaxed geometry (PBE, Alexandria).

abc: 3.3409 6.5558 11.7650
angles: 78.17 90.00 90.00
Fractional positions:
Al 0.7500 0.5222 0.4049
Al 0.2500 0.9819 0.7384
Al 0.7500 0.0181 0.2616
Al 0.7500 0.6003 0.1165
Al 0.2500 0.4778 0.5951
Al 0.2500 0.3997 0.8835
V 0.2500 0.7387 0.9507
V 0.7500 0.3092 0.7500
V 0.7500 0.8189 0.5768
V 0.7500 0.2613 0.0493
V 0.2500 0.1811 0.4232
V 0.2500 0.6908 0.2500
P 0.2500 0.9852 0.0880
P 0.2500 0.8160 0.4292
P 0.7500 0.6645 0.7952
P 0.7500 0.1840 0.5708
P 0.2500 0.3355 0.2048
P 0.7500 0.0148 0.9120

Properties
* uncorrected energy: -6.428 eV/atom
* energy of formation: -337.8 meV/atom
* D(E_F): 0.64 states/eV per atom


# 12
# AlVP2

Crystalline AlVP2 at its relaxed geometry (PBE, Alexandria).

abc: 5.4932 5.4932 6.7472
angles: 65.98 65.98 90.00
Last column: magnetic moment on the atom in μB.
Fractional positions:
P 0.6283 0.1250 0.2500  -0.08
P 0.1217 0.6250 0.2500  -0.08
P 0.3750 0.3717 0.7500  -0.08
P 0.8750 0.8783 0.7500  -0.08
Al 0.5000 0.5000 0.0000  0.03
Al 0.2500 0.7500 0.5000  0.03
V 0.0000 0.0000 0.0000  1.84
V 0.7500 0.2500 0.5000  1.84

Properties
* uncorrected energy: -6.168 eV/atom
* energy of formation: -247.7 meV/atom
* D(E_F): 0.56 states/eV per atom